Record 1
Entry from Alexandria: an optimized crystal structure of KOsBr2 (GGA-PBE). Values from VASP.

Quantum ESPRESSO input file:
```
&SYSTEM
  ibrav = 0, nat = 4, ntyp = 3
/
ATOMIC_SPECIES
Br 79.90 Br.upf
K 39.10 K.upf
Os 190.23 Os.upf
CELL_PARAMETERS angstrom
-2.8711 5.1389 3.0370
-2.6427 2.3025 5.6205
6.0892 -0.3488 -0.9213
ATOMIC_POSITIONS angstrom
Br -3.7395 6.5848 7.5601
Br -0.5400 5.2470 5.8085
K 2.0382 3.9037 4.1057
Os 3.6798 1.9960 1.8661
```

Summary:
ΔE to the lowest computed polymorph   28.8 meV/atom
Energy relative to the elements, uncorrected   0.076 eV/atom
Mass density   5.21 g/cm³
Size of the total moment   0.9 Bohr magnetons per cell

Record 2
Entry from Alexandria: an optimized crystal structure of NaZn3In3 (GGA-PBE). Values from VASP.

Quantum ESPRESSO input file:
```
&SYSTEM
  ibrav = 0, nat = 14, ntyp = 3
/
ATOMIC_SPECIES
Na 22.99 Na.upf
Zn 65.41 Zn.upf
In 114.82 In.upf
CELL_PARAMETERS angstrom
-1.1332 -6.4886 3.8564
7.0378 0.5011 2.9112
-2.7280 3.9881 5.9085
ATOMIC_POSITIONS angstrom
Na 1.5883 -0.9997 6.3380
Na 0.0000 0.0000 0.0000
Zn 0.3955 2.1193 3.6821
Zn 3.9144 2.3699 5.1376
Zn -2.6126 -0.2532 6.3596
Zn 2.6690 -4.6159 4.3479
Zn -1.2486 -2.2473 3.4053
Zn 3.2356 -1.3716 2.4197
In -1.6473 0.3719 3.9183
In 2.8369 1.2476 2.9327
In 4.7118 -2.8685 4.1116
In -2.2139 -2.8724 5.8465
In 1.4729 3.2416 5.8870
In 1.1929 -3.1190 2.6560
```

Summary:
DFT formation energy   0.27 eV/atom
Mass density   4.21 g/cm³
Size of the total moment   0.0 Bohr magnetons per cell

Record 3
Entry from Alexandria: an optimized crystal structure of Hf6NbMo (GGA-PBE). Values from VASP.

Quantum ESPRESSO input file:
```
&SYSTEM
  ibrav = 0, nat = 8, ntyp = 3
/
ATOMIC_SPECIES
Hf 178.49 Hf.upf
Nb 92.91 Nb.upf
Mo 95.94 Mo.upf
CELL_PARAMETERS angstrom
-2.4979 -0.7168 4.0369
3.8213 1.3064 2.5964
-1.5689 7.1452 3.1529
ATOMIC_POSITIONS angstrom
Hf 0.2022 4.0326 6.5512
Hf -2.3243 5.2715 5.2075
Hf 0.8352 6.2830 4.4874
Hf 2.0789 2.4633 4.5787
Hf -0.4476 3.7021 3.2350
Hf -1.0806 1.4518 5.2988
Nb 0.6617 0.2948 3.3167
Mo 0.0000 0.0000 0.0000
```

Summary:
DFT formation energy   0.06 eV/atom
Mass density   12.59 g/cm³
Size of the total moment   0.0 Bohr magnetons per cell